Crystalline MgCdBi2S at its relaxed geometry. Source: Alexandria, functional PBEsol. Values from VASP.

The structure in Quantum ESPRESSO input format:
```
&SYSTEM
  ibrav = 0, nat = 5, ntyp = 4
/
ATOMIC_SPECIES
Mg 24.30 Mg.upf
Cd 112.41 Cd.upf
Bi 208.98 Bi.upf
S 32.06 S.upf
CELL_PARAMETERS angstrom
5.4255 0.0000 0.0000
0.0000 5.4255 0.0000
0.0000 0.0000 5.0573
ATOMIC_POSITIONS angstrom
Mg 0.0000 0.0000 0.0000
Cd 0.0000 0.0000 2.5287
Bi 0.0000 2.7127 0.0000
Bi 2.7127 0.0000 0.0000
S 2.7127 2.7127 2.5287
```

Calculated values
formation energy without anion corrections = 3.38 eV/f.u.
symmetry = No. 123



Crystalline KZn2Re at its relaxed geometry. Source: Alexandria, functional PBEsol. Values from VASP.

The structure in Quantum ESPRESSO input format:
```
&SYSTEM
  ibrav = 0, nat = 4, ntyp = 3
/
ATOMIC_SPECIES
K 39.10 K.upf
Zn 65.41 Zn.upf
Re 186.21 Re.upf
CELL_PARAMETERS angstrom
0.0000 3.2986 3.2986
3.2986 0.0000 3.2986
3.2986 3.2986 0.0000
ATOMIC_POSITIONS angstrom
K 0.0000 0.0000 0.0000
Zn 3.2986 3.2986 3.2986
Zn 4.9479 4.9479 4.9479
Re 1.6493 1.6493 1.6493
```

Calculated values
energy above the lowest structure with this stoichiometry = 0.947 eV/atom
symmetry = No. 216



Crystalline Ca2TeW at its relaxed geometry. Source: Alexandria, functional PBEsol. Values from VASP.

The structure in Quantum ESPRESSO input format:
```
&SYSTEM
  ibrav = 0, nat = 4, ntyp = 3
/
ATOMIC_SPECIES
Ca 40.08 Ca.upf
Te 127.60 Te.upf
W 183.84 W.upf
CELL_PARAMETERS angstrom
3.8530 0.0000 0.0000
0.0000 3.8530 0.0000
0.0000 0.0000 6.6209
ATOMIC_POSITIONS angstrom
Ca 0.0000 0.0000 1.6369
Ca 0.0000 0.0000 4.9839
Te 1.9265 1.9265 3.3104
W 1.9265 1.9265 0.0000
```

Calculated values
formation energy without anion corrections = 1.15 eV/f.u.
energy above the lowest structure with this stoichiometry = 0.028 eV/atom
symmetry = No. 123